Li2CePrSe4 (PBE, optimized geometry); formation energy (no corrections) = -1624.1 meV per atom; crystal system = monoclinic
1.0
-0.209 -3.837 1.771
2.007 -3.040 -6.348
5.589 1.478 3.860
Li Ce Pr Se
2 1 1 4
direct
0.500 0.000 0.500 Li
0.000 0.500 0.500 Li
0.500 0.500 0.000 Ce
0.000 0.000 0.000 Pr
0.500 0.255 0.261 Se
0.500 0.745 0.739 Se
0.000 0.249 0.740 Se
0.000 0.751 0.260 Se

Ti2CuPt8 (PBE, optimized geometry); energy of formation = -547.8 meV/atom; crystal system = orthorhombic
1.0
-4.108 0.694 0.751
-1.336 0.068 -7.368
1.830 -5.780 3.420
Ti Cu Pt
2 1 8
direct
0.203 0.703 0.407 Ti
0.797 0.297 0.593 Ti
0.500 0.000 0.000 Cu
0.659 0.876 0.318 Pt
0.341 0.559 0.682 Pt
0.137 0.137 0.273 Pt
0.000 0.317 0.000 Pt
0.863 0.863 0.727 Pt
0.659 0.441 0.318 Pt
0.341 0.124 0.682 Pt
0.000 0.683 0.000 Pt